Computed, not measured: a relaxed Li4V11O22 crystal at the GGA+U level of DFT.

Calculated values
Total moment   15.0 μB per formula unit
Total DFT energy (no corrections)   -7.3643 eV per atom
Volume   437.7 Å³/cell

a = 5.107 Å, b = 8.657 Å, c = 10.769 Å
α = 111.14°, β = 96.94°, γ = 93.83°
Each line ends with the local moment (μB).
Atoms (fractional coordinates):
Li 0.089 0.025 0.011  0.00
Li 0.791 0.585 0.793  0.00
Li 0.703 0.963 0.503  0.00
Li 0.239 0.418 0.207  0.00
V 0.090 0.853 0.681  1.08
V 0.723 0.400 0.971  1.10
V 0.168 0.225 0.843  1.09
V 0.540 0.678 0.581  1.09
V 0.365 0.958 0.228  1.10
V 0.634 0.031 0.784  1.86
V 0.990 0.505 0.490  1.83
V 0.451 0.314 0.418  1.10
V 0.817 0.766 0.140  1.10
V 0.271 0.597 0.026  1.85
V 0.906 0.138 0.312  1.83
O 0.615 0.614 0.960  -0.03
O 0.778 0.813 0.763  -0.01
O 0.012 0.433 0.865  -0.03
O 0.415 0.886 0.598  -0.02
O 0.225 0.647 0.665  -0.02
O 0.894 0.194 0.952  -0.03
O 0.060 0.920 0.303  -0.04
O 0.489 0.252 0.792  -0.06
O 0.860 0.738 0.512  -0.03
O 0.284 0.004 0.850  -0.03
O 0.675 0.480 0.588  -0.03
O 0.323 0.529 0.410  -0.01
O 0.147 0.288 0.486  -0.05
O 0.669 0.979 0.143  -0.04
O 0.513 0.740 0.212  -0.06
O 0.118 0.815 0.053  -0.02
O 0.933 0.070 0.688  -0.02
O 0.750 0.350 0.329  -0.04
O 0.585 0.098 0.401  0.00
O 0.974 0.554 0.126  -0.03
O 0.238 0.172 0.230  0.00
O 0.411 0.379 0.036  -0.06